VASP calculation (GGA-PBE) on Cs3AgPd2Br6 after structural relaxation.

Properties
Its spin magnetization is 2.03 μB/f.u. The crystal system is trigonal. Its energy is -0.1095 hartree per atom.

```
data_Cs3AgPd2Br6
_symmetry_space_group_name_H-M 'P -3 m 1'
_symmetry_Int_Tables_number 164
_symmetry_space_group_name_Hall '-P 3 2"'
_cell_length_a 8.1284
_cell_length_b 8.1284
_cell_length_c 9.4985
_cell_angle_alpha 90.00
_cell_angle_beta 90.00
_cell_angle_gamma 120.00
loop_
_atom_site_label
_atom_site_type_symbol
_atom_site_fract_x
_atom_site_fract_y
_atom_site_fract_z
Cs1 Cs 0.0000 0.0000 0.0000
Cs2 Cs 0.3333 0.6667 0.6484
Ag1 Ag 0.0000 0.0000 0.5000
Pd1 Pd 0.3333 0.6667 0.2823
Br1 Br 0.1558 0.3115 0.3029
```